Compound: BaMnS2O8
Source: Alexandria via LeMat-Bulk
Functional: PBE with a Hubbard U
Structure: optimized geometry

a b c (Å): 5.0177 5.0177 22.7715
angles (deg): 90.00 90.00 120.00
Space group R-3 (No. 148, hexagonal axes)
Unique sites:
Ba 0.0000 0.0000 0.0000
Mn 0.0000 0.0000 0.5000
S 0.0000 0.0000 0.2453
O 0.0000 0.0000 0.3111
O 0.0129 0.2889 0.2252

Values from the calculation:
D(E_F) (states/eV/cell): 0.00
Total DFT energy (no corrections) (eV per atom): -6.6772